## YAlCr (PBE-GGA)

Data for an optimized crystal structure of YAlCr.

Its crystal system is monoclinic. Its formation energy is 0.056 eV per atom. As for the volume: 250 Å³ per cell.

The structure belongs to space group C2/m (No. 12); the cell edges are 15.781, 4.395 and 3.659 Å and the angles 90.00°, 100.20° and 90.00°. The distinct sites, in fractional coordinates, are Y at (0.112, 0.000, 0.383), Al at (0.204, 0.500, 0.973) and Cr at (0.036, 0.500, 0.822).

=====

## CeY3Ho8 (PBE-GGA)

Data for an optimized crystal structure of CeY3Ho8.

Its crystal system is tetragonal. Its formation energy is 0.634 eV per atom. As for the volume: 840 Å³ per cell.

The structure belongs to space group I-42m (No. 121); the cell edges are 8.626, 8.626 and 11.293 Å and the angles 90.00°, 90.00° and 90.00°. The distinct sites, in fractional coordinates, are Ce at (0.000, 0.000, 0.000), Y at (0.000, 0.000, 0.500), Y at (0.000, 0.500, 0.250), Ho at (0.125, 0.125, 0.765) and Ho at (0.232, 0.232, 0.031).

=====

## La2Ni2As (PBE-GGA)

Data for an optimized crystal structure of La2Ni2As.

Its crystal system is tetragonal. Its formation energy is -0.638 eV per atom. As for the volume: 209 Å³ per cell.

The structure belongs to space group P4/mbm (No. 127); the cell edges are 7.248, 7.248 and 3.985 Å and the angles 90.00°, 90.00° and 90.00°. The distinct sites, in fractional coordinates, are La at (0.189, 0.311, 0.000), Ni at (0.117, 0.617, 0.500) and As at (0.000, 0.000, 0.500).

=====

## Sr2CoRu (PBE-GGA)

Data for an optimized crystal structure of Sr2CoRu.

Its crystal system is orthorhombic. Its formation energy is 0.255 eV per atom. As for the volume: 215 Å³ per cell.

The structure belongs to space group Amm2 (No. 38); the cell edges are 4.139, 4.774 and 10.868 Å and the angles 90.00°, 90.00° and 90.00°. The distinct sites, in fractional coordinates, are Sr at (0.000, 0.000, 0.000), Sr at (0.500, 0.000, 0.285), Co at (0.000, 0.000, 0.685) and Ru at (0.500, 0.000, 0.601).

=====

## Ce2Co3NiGe4 (PBE-GGA)

Data for an optimized crystal structure of Ce2Co3NiGe4.

Its crystal system is tetragonal. Its formation energy is -0.601 eV per atom. As for the volume: 163 Å³ per cell.

The structure belongs to space group P-4m2 (No. 115); the cell edges are 4.106, 4.106 and 9.697 Å and the angles 90.00°, 90.00° and 90.00°. The distinct sites, in fractional coordinates, are Ce at (0.000, 0.500, 0.247), Co at (0.000, 0.500, 0.873), Co at (0.500, 0.500, 0.500), Ni at (0.000, 0.000, 0.500), Ge at (0.000, 0.000, 0.000), Ge at (0.000, 0.500, 0.630) and Ge at (0.500, 0.500, 0.000).

=====

## Tb2YEr3As6 (PBE-GGA)

Data for an optimized crystal structure of Tb2YEr3As6.

Its crystal system is monoclinic. Its formation energy is -1.533 eV per atom. As for the volume: 588 Å³ per cell.

The structure belongs to space group C2/m (No. 12); the cell edges are 17.902, 4.108 and 8.214 Å and the angles 90.00°, 103.24° and 90.00°. The distinct sites, in fractional coordinates, are Tb at (0.167, 0.000, 0.333), Y at (0.000, 0.500, 0.000), Er at (0.000, 0.500, 0.500), Er at (0.167, 0.000, 0.833), As at (0.001, 0.000, 0.748), As at (0.166, 0.500, 0.585) and As at (0.167, 0.500, 0.081).

=====

| no. | calculated total energy (eV per atom) | density (g/cm3) |
| --- | --- | --- |
| 1 | -6.554 | 4.46 |
| 2 | -4.528 | 6.82 |
| 3 | -5.851 | 7.46 |
| 4 | -4.682 | 5.18 |
| 5 | -6.345 | 8.19 |
| 6 | -6.308 | 7.67 |